# Li3Ge2Rh

A relaxed structure of Li3Ge2Rh (GGA-PBE, Alexandria).

The space group is Ibam, No. 72. As for the energy of formation: -357 meV per atom.

Cell: 7.5537 7.5537 7.5537 Å, 137.06 63.31 135.82°
Positions (direct):
1 Li 0.1667 0.2332 0.3999
2 Li 0.2500 0.2500 0.0000
3 Li 0.3333 0.7332 0.0664
4 Li 0.6667 0.2668 0.9336
5 Li 0.7500 0.7500 0.0000
6 Li 0.8333 0.7668 0.6001
7 Ge 0.1241 0.7188 0.8429
8 Ge 0.3759 0.2188 0.5948
9 Ge 0.6241 0.7812 0.4052
10 Ge 0.8759 0.2812 0.1571
11 Rh 0.2500 0.7500 0.5000
12 Rh 0.7500 0.2500 0.5000

# Li2Ge2Rh

A relaxed structure of Li2Ge2Rh (GGA-PBE, Alexandria).

The space group is P4/mbm, No. 127. As for the energy of formation: -368 meV per atom. The polymorph energy (0 for the lowest one) is 48 meV per atom.

Cell: 6.5039 6.5039 3.5337 Å, 90.00 90.00 90.00°
Positions (direct):
1 Li 0.1668 0.3332 0.0000
2 Li 0.3332 0.8332 0.0000
3 Li 0.6668 0.1668 0.0000
4 Li 0.8332 0.6668 0.0000
5 Ge 0.1391 0.6391 0.5000
6 Ge 0.3609 0.1391 0.5000
7 Ge 0.6391 0.8609 0.5000
8 Ge 0.8609 0.3609 0.5000
9 Rh 0.0000 0.0000 0.5000
10 Rh 0.5000 0.5000 0.5000